First-principles (PBE-GGA) data for a relaxed structure of HoMn4Ga8, as listed in the Alexandria database.

For the magnetization, the calculation gives 17.08 μB per cell. As for the electronic total energy: -137.57 eV per cell. The energy of formation from the pure elements is -0.2551 eV per atom.

The structure belongs to space group I4/mmm (No. 139); the cell edges are 8.7614, 8.7614 and 5.2127 Å and the angles 90.00°, 90.00° and 90.00°. The asymmetric unit holds Ho at (0.0000, 0.0000, 0.0000), Mn at (0.2500, 0.2500, 0.2500), Ga at (0.0000, 0.2268, 0.5000) and Ga at (0.0000, 0.3328, 0.0000).